Record 1
Density functional theory data (PBE) for a relaxed structure of SrAcCrN4.

Lattice parameters (Å, degrees): 6.022 5.617 7.424 90.00 105.01 90.00
Sites, in units of the cell vectors:
Sr1 0.231 0.250 0.448
Sr2 0.769 0.750 0.552
Ac1 0.274 0.250 0.956
Ac2 0.726 0.750 0.044
Cr1 0.275 0.750 0.211
Cr2 0.725 0.250 0.789
N1 0.070 0.750 0.341
N2 0.128 0.750 0.977
N3 0.457 0.506 0.248
N4 0.457 0.994 0.248
N5 0.543 0.006 0.752
N6 0.543 0.494 0.752
N7 0.872 0.250 0.023
N8 0.930 0.250 0.659

## Properties
Total energy ... -107.55 eV per cell
Formation energy (no corrections) ... -723 meV/atom

Record 2
Density functional theory data (PBE) for a relaxed structure of Ru2PtW.

Lattice parameters (Å, degrees): 2.707 4.607 4.859 90.00 91.63 90.00
Sites, in units of the cell vectors:
Ru1 0.243 0.000 0.242
Ru2 0.757 0.000 0.758
Pt1 0.500 0.500 0.000
W1 0.000 0.500 0.500

## Properties
Total energy ... -36.68 eV per cell
DFT formation energy ... 21 kJ per mole of atoms
Polymorph energy (0 for the lowest one) ... 390 meV per atom

Record 3
Density functional theory data (PBE) for a relaxed structure of Tc2AgPH.

Lattice parameters (Å, degrees): 4.971 4.971 3.108 90.00 90.00 90.00
Sites, in units of the cell vectors:
Tc1 0.000 0.500 0.000
Tc2 0.500 0.000 0.000
Ag1 0.000 0.000 0.000
P1 0.500 0.500 0.500
H1 0.000 0.000 0.500

## Properties
Total energy ... -25.02 eV per cell

Record 4
Density functional theory data (PBE) for a relaxed structure of TeSeBr2.

Lattice parameters (Å, degrees): 8.380 8.380 8.380 95.74 95.74 143.13
Sites, in units of the cell vectors:
Te1 0.000 0.000 0.000
Te2 0.750 0.250 0.500
Se1 0.250 0.750 0.500
Se2 0.500 0.500 0.000
Br1 0.375 0.124 0.249
Br2 0.874 0.625 0.749
Br3 0.875 0.126 0.751
Br4 0.876 0.125 0.251

## Properties
Total energy ... -19.13 eV per cell
Polymorph energy (0 for the lowest one) ... 269 meV per atom
Formation energy (no corrections) ... 102 meV/atom

Record 5
Density functional theory data (PBE) for a relaxed structure of TaSb2W.

Lattice parameters (Å, degrees): 3.360 3.360 8.070 90.00 90.00 90.00
Sites, in units of the cell vectors:
Ta1 0.000 0.000 0.000
Sb1 0.000 0.000 0.385
Sb2 0.500 0.500 0.776
W1 0.500 0.500 0.171

## Properties
Total energy ... -32.58 eV per cell
Polymorph energy (0 for the lowest one) ... 0 meV per atom
Formation energy (no corrections) ... 118 meV/atom

Record 6
Density functional theory data (PBE) for a relaxed structure of AlP2IrCl.

Lattice parameters (Å, degrees): 4.632 4.632 4.360 90.00 90.00 90.00
Sites, in units of the cell vectors:
Al1 0.000 0.000 0.000
P1 0.000 0.500 0.000
P2 0.500 0.000 0.000
Ir1 0.500 0.500 0.500
Cl1 0.000 0.000 0.500

## Properties
Total energy ... -20.54 eV per cell
Polymorph energy (0 for the lowest one) ... 486 meV per atom
Formation energy (no corrections) ... 946 meV/atom

Record 7
Density functional theory data (PBE) for a relaxed structure of Te2PdNCl.

Lattice parameters (Å, degrees): 5.529 5.529 3.393 90.00 90.00 90.00
Sites, in units of the cell vectors:
Te1 0.000 0.500 0.000
Te2 0.500 0.000 0.000
Pd1 0.000 0.000 0.500
N1 0.500 0.500 0.500
Cl1 0.500 0.500 0.000

## Properties
Total energy ... -14.98 eV per cell
Polymorph energy (0 for the lowest one) ... 628 meV per atom
Formation energy (no corrections) ... 1333 meV/atom

Record 8
Density functional theory data (PBE) for a relaxed structure of TmMgNi2P2.

Lattice parameters (Å, degrees): 3.832 3.832 7.340 90.00 90.00 120.00
Sites, in units of the cell vectors:
Tm1 0.000 0.000 0.000
Mg1 0.000 0.000 0.500
Ni1 0.333 0.667 0.730
Ni2 0.667 0.333 0.270
P1 0.333 0.667 0.251
P2 0.667 0.333 0.749

## Properties
Total energy ... -33.85 eV per cell
DFT formation energy ... -87 kJ per mole of atoms

Record 9
Density functional theory data (PBE) for a relaxed structure of KPb2Cl.

Lattice parameters (Å, degrees): 5.054 5.054 9.004 109.82 109.82 44.03
Sites, in units of the cell vectors:
K1 0.000 0.000 0.000
Pb1 0.169 0.169 0.662
Pb2 0.390 0.390 0.474
Cl1 0.761 0.761 0.146

## Properties
Total energy ... -12.79 eV per cell
Polymorph energy (0 for the lowest one) ... 100 meV per atom
Formation energy (no corrections) ... -608 meV/atom

Record 10
Density functional theory data (PBE) for a relaxed structure of BaMgAl2Au2.

Lattice parameters (Å, degrees): 4.538 4.538 7.927 90.00 90.00 120.00
Sites, in units of the cell vectors:
Ba1 0.000 0.000 0.000
Mg1 0.000 0.000 0.500
Al1 0.333 0.667 0.322
Al2 0.667 0.333 0.678
Au1 0.333 0.667 0.678
Au2 0.667 0.333 0.322

## Properties
Total energy ... -21.00 eV per cell
DFT formation energy ... -55 kJ per mole of atoms

Record 11
Density functional theory data (PBE) for a relaxed structure of SiPSe2.

Lattice parameters (Å, degrees): 4.657 4.657 4.657 60.00 60.00 60.00
Sites, in units of the cell vectors:
Si1 0.000 0.000 0.000
P1 0.750 0.750 0.750
Se1 0.250 0.250 0.250
Se2 0.500 0.500 0.500

## Properties
Total energy ... -15.16 eV per cell
Polymorph energy (0 for the lowest one) ... 746 meV per atom
Formation energy (no corrections) ... 659 meV/atom

Record 12
Density functional theory data (PBE) for a relaxed structure of Sc2Ga3Rh.

Lattice parameters (Å, degrees): 5.756 5.756 5.756 132.96 123.68 76.34
Sites, in units of the cell vectors:
Sc1 0.185 0.185 0.000
Sc2 0.815 0.815 0.000
Ga1 0.000 0.500 0.500
Ga2 0.360 0.860 0.500
Ga3 0.640 0.140 0.500
Rh1 0.500 0.500 0.000

## Properties
Total energy ... -31.22 eV per cell
DFT formation energy ... -34 kJ per mole of atoms

Record 13
Density functional theory data (PBE) for a relaxed structure of TbPuF.

Lattice parameters (Å, degrees): 3.435 4.097 8.810 78.98 84.13 71.34
Sites, in units of the cell vectors:
Tb1 0.026 0.161 0.201
Tb2 0.974 0.839 0.799
Pu1 0.328 0.293 0.501
Pu2 0.672 0.707 0.499
F1 0.157 0.245 0.920
F2 0.843 0.755 0.080

## Properties
Total energy ... -51.21 eV per cell
Formation energy (no corrections) ... -1590 meV/atom